Entry 1:
# Li2BeRh (GGA-PBEsol, relaxed)
# V = 11.2 Å³ per atom
# ΔE_f = -199 meV/atom
# space-group type = Immm
# magnetic moment = 0.000 μB per atom
# D(E_F) = 0.286 states/eV per atom
data_Li2BeRh
_chemical_formula_sum 'Li2 Be1 Rh1'
_symmetry_space_group_name_H-M 'P 1'
_symmetry_Int_Tables_number 1
_cell_length_a 4.821
_cell_length_b 4.821
_cell_length_c 4.821
_cell_angle_alpha 144.66
_cell_angle_beta 135.61
_cell_angle_gamma 57.98
loop_
_symmetry_equiv_pos_as_xyz
'x,y,z'
loop_
_atom_site_label
_atom_site_fract_x
_atom_site_fract_y
_atom_site_fract_z
_atom_site_occupancy
Li1 0.240 0.240 0.000 1
Li2 0.760 0.760 0.000 1
Be1 0.000 0.500 0.500 1
Rh1 0.500 0.000 0.500 1


Entry 2:
# Cs2RbGa2 (GGA-PBEsol, relaxed)
# V = 48.9 Å³ per atom
# ΔE_f = 140 meV/atom
# space-group type = I4/mmm
# magnetic moment = 0.000 μB per atom
# D(E_F) = 0.756 states/eV per atom
data_Cs2RbGa2
_chemical_formula_sum 'Cs2 Rb1 Ga2'
_symmetry_space_group_name_H-M 'P 1'
_symmetry_Int_Tables_number 1
_cell_length_a 15.250
_cell_length_b 15.250
_cell_length_c 15.250
_cell_angle_alpha 164.78
_cell_angle_beta 164.78
_cell_angle_gamma 21.59
loop_
_symmetry_equiv_pos_as_xyz
'x,y,z'
loop_
_atom_site_label
_atom_site_fract_x
_atom_site_fract_y
_atom_site_fract_z
_atom_site_occupancy
Cs1 0.145 0.145 0.000 1
Cs2 0.855 0.855 0.000 1
Rb1 0.500 0.500 0.000 1
Ga1 0.250 0.750 0.500 1
Ga2 0.750 0.250 0.500 1


Entry 3:
# P2OsPb (GGA-PBEsol, relaxed)
# V = 19.4 Å³ per atom
# ΔE_f = 102 meV/atom
# space-group type = P2/m
# magnetic moment = 0.000 μB per atom
# D(E_F) = 0.580 states/eV per atom
data_P2OsPb
_chemical_formula_sum 'P2 Os1 Pb1'
_symmetry_space_group_name_H-M 'P 1'
_symmetry_Int_Tables_number 1
_cell_length_a 4.400
_cell_length_b 3.926
_cell_length_c 4.662
_cell_angle_alpha 90.00
_cell_angle_beta 105.76
_cell_angle_gamma 90.00
loop_
_symmetry_equiv_pos_as_xyz
'x,y,z'
loop_
_atom_site_label
_atom_site_fract_x
_atom_site_fract_y
_atom_site_fract_z
_atom_site_occupancy
P1 0.246 0.000 0.401 1
P2 0.754 0.000 0.599 1
Os1 0.000 0.500 0.500 1
Pb1 0.500 0.500 0.000 1


Entry 4:
# FeBC3 (GGA-PBEsol, relaxed)
# V = 9.7 Å³ per atom
# ΔE_f = 2623 meV/atom
# space-group type = Pm-3m
# magnetic moment = 0.082 μB per atom
# D(E_F) = 0.733 states/eV per atom
data_FeBC3
_chemical_formula_sum 'Fe1 B1 C3'
_symmetry_space_group_name_H-M 'P 1'
_symmetry_Int_Tables_number 1
_cell_length_a 3.651
_cell_length_b 3.651
_cell_length_c 3.651
_cell_angle_alpha 90.00
_cell_angle_beta 90.00
_cell_angle_gamma 90.00
loop_
_symmetry_equiv_pos_as_xyz
'x,y,z'
loop_
_atom_site_label
_atom_site_fract_x
_atom_site_fract_y
_atom_site_fract_z
_atom_site_occupancy
Fe1 0.000 0.000 0.000 1
B1 0.500 0.500 0.500 1
C1 0.000 0.000 0.500 1
C2 0.000 0.500 0.000 1
C3 0.500 0.000 0.000 1


Entry 5:
# RbRuC2 (GGA-PBEsol, relaxed)
# V = 19.7 Å³ per atom
# ΔE_f = 668 meV/atom
# space-group type = Fd-3m
# magnetic moment = 0.000 μB per atom
# D(E_F) = 0.164 states/eV per atom
data_RbRuC2
_chemical_formula_sum 'Rb2 Ru2 C4'
_symmetry_space_group_name_H-M 'P 1'
_symmetry_Int_Tables_number 1
_cell_length_a 6.060
_cell_length_b 6.060
_cell_length_c 6.060
_cell_angle_alpha 60.00
_cell_angle_beta 60.00
_cell_angle_gamma 60.00
loop_
_symmetry_equiv_pos_as_xyz
'x,y,z'
loop_
_atom_site_label
_atom_site_fract_x
_atom_site_fract_y
_atom_site_fract_z
_atom_site_occupancy
Rb1 0.125 0.125 0.125 1
Rb2 0.875 0.875 0.875 1
Ru1 0.375 0.375 0.375 1
Ru2 0.625 0.625 0.625 1
C1 0.000 0.500 0.500 1
C2 0.500 0.000 0.500 1
C3 0.500 0.500 0.000 1
C4 0.500 0.500 0.500 1


Entry 6:
# AlCoCu2 (GGA-PBEsol, relaxed)
# V = 11.7 Å³ per atom
# ΔE_f = -55 meV/atom
# space-group type = Cmmm
# magnetic moment = 0.319 μB per atom
# D(E_F) = 0.677 states/eV per atom
data_AlCoCu2
_chemical_formula_sum 'Al1 Co1 Cu2'
_symmetry_space_group_name_H-M 'P 1'
_symmetry_Int_Tables_number 1
_cell_length_a 4.377
_cell_length_b 4.377
_cell_length_c 2.608
_cell_angle_alpha 90.00
_cell_angle_beta 90.00
_cell_angle_gamma 110.51
loop_
_symmetry_equiv_pos_as_xyz
'x,y,z'
loop_
_atom_site_label
_atom_site_fract_x
_atom_site_fract_y
_atom_site_fract_z
_atom_site_occupancy
Al1 0.000 0.000 0.000 1
Co1 0.500 0.500 0.000 1
Cu1 0.000 0.500 0.500 1
Cu2 0.500 0.000 0.500 1


Entry 7:
# K2YPb (GGA-PBEsol, relaxed)
# V = 36.6 Å³ per atom
# ΔE_f = 209 meV/atom
# space-group type = Pmmm
# magnetic moment = 0.034 μB per atom
# D(E_F) = 1.072 states/eV per atom
data_K2YPb
_chemical_formula_sum 'K2 Y1 Pb1'
_symmetry_space_group_name_H-M 'P 1'
_symmetry_Int_Tables_number 1
_cell_length_a 3.640
_cell_length_b 6.180
_cell_length_c 6.517
_cell_angle_alpha 90.00
_cell_angle_beta 90.00
_cell_angle_gamma 90.00
loop_
_symmetry_equiv_pos_as_xyz
'x,y,z'
loop_
_atom_site_label
_atom_site_fract_x
_atom_site_fract_y
_atom_site_fract_z
_atom_site_occupancy
K1 0.000 0.000 0.233 1
K2 0.000 0.000 0.767 1
Y1 0.500 0.500 0.500 1
Pb1 0.500 0.500 0.000 1


Entry 8:
# V8Cd3CuO24 (GGA-PBEsol, relaxed)
# V = 11.7 Å³ per atom
# space-group type = P2/m
# magnetic moment = 0.028 μB per atom
# energy relative to the elements, uncorrected = -2.0260 eV per atom
data_V8Cd3CuO24
_chemical_formula_sum 'V8 Cd3 Cu1 O24'
_symmetry_space_group_name_H-M 'P 1'
_symmetry_Int_Tables_number 1
_cell_length_a 6.848
_cell_length_b 3.524
_cell_length_c 17.381
_cell_angle_alpha 90.00
_cell_angle_beta 90.21
_cell_angle_gamma 90.00
loop_
_symmetry_equiv_pos_as_xyz
'x,y,z'
loop_
_atom_site_label
_atom_site_fract_x
_atom_site_fract_y
_atom_site_fract_z
_atom_site_occupancy
V1 0.034 0.000 0.411 1
V2 0.218 0.500 0.852 1
V3 0.309 0.500 0.660 1
V4 0.420 0.000 0.097 1
V5 0.580 0.000 0.903 1
V6 0.691 0.500 0.340 1
V7 0.782 0.500 0.148 1
V8 0.966 0.000 0.589 1
Cd1 0.225 0.500 0.256 1
Cd2 0.500 0.000 0.500 1
Cd3 0.775 0.500 0.744 1
Cu1 0.000 0.000 0.000 1
O1 0.042 0.500 0.596 1
O2 0.056 0.500 0.924 1
O3 0.087 0.500 0.769 1
O4 0.180 0.000 0.490 1
O5 0.195 0.000 0.338 1
O6 0.225 0.000 0.655 1
O7 0.269 0.000 0.172 1
O8 0.272 0.000 0.020 1
O9 0.304 0.000 0.855 1
O10 0.455 0.500 0.737 1
O11 0.462 0.500 0.584 1
O12 0.492 0.500 0.905 1
O13 0.508 0.500 0.095 1
O14 0.538 0.500 0.416 1
O15 0.545 0.500 0.263 1
O16 0.696 0.000 0.145 1
O17 0.728 0.000 0.980 1
O18 0.731 0.000 0.828 1
O19 0.775 0.000 0.345 1
O20 0.805 0.000 0.662 1
O21 0.820 0.000 0.510 1
O22 0.913 0.500 0.231 1
O23 0.944 0.500 0.076 1
O24 0.958 0.500 0.404 1


What did the fifth record say?
# RbRuC2 (GGA-PBEsol, relaxed)
# V = 19.7 Å³ per atom
# ΔE_f = 668 meV/atom
# space-group type = Fd-3m
# magnetic moment = 0.000 μB per atom
# D(E_F) = 0.164 states/eV per atom
data_RbRuC2
_chemical_formula_sum 'Rb2 Ru2 C4'
_symmetry_space_group_name_H-M 'P 1'
_symmetry_Int_Tables_number 1
_cell_length_a 6.060
_cell_length_b 6.060
_cell_length_c 6.060
_cell_angle_alpha 60.00
_cell_angle_beta 60.00
_cell_angle_gamma 60.00
loop_
_symmetry_equiv_pos_as_xyz
'x,y,z'
loop_
_atom_site_label
_atom_site_fract_x
_atom_site_fract_y
_atom_site_fract_z
_atom_site_occupancy
Rb1 0.125 0.125 0.125 1
Rb2 0.875 0.875 0.875 1
Ru1 0.375 0.375 0.375 1
Ru2 0.625 0.625 0.625 1
C1 0.000 0.500 0.500 1
C2 0.500 0.000 0.500 1
C3 0.500 0.500 0.000 1
C4 0.500 0.500 0.500 1


- What is the magnetic moment in the sixth record?
  0.319 μB per atom